Here is an optimized crystal structure of TbGdAgRh from Alexandria. Energies are from PBE-GGA.

Unit cell a=5.0238 b=5.0238 c=5.0238 alpha=60.00 beta=60.00 gamma=60.00
Last column: nearest neighbours and their distance in Å.
Fractional positions:
Tb: 0.0000 0.0000 0.0000  4 Rh 3.08, 4 Ag 3.08
Gd: 0.5000 0.5000 0.5000  4 Rh 3.08, 4 Ag 3.08
Ag: 0.2500 0.2500 0.2500  4 Gd 3.08, 4 Tb 3.08
Rh: 0.7500 0.7500 0.7500  4 Gd 3.08, 4 Tb 3.08

Calculated values
Size of the total moment (Bohr magnetons per cell): 7.22
Electronic total energy (eV/atom): -7.768
D(E_F) (states/eV per atom): 0.922